## NaAcVF6 (PBE with a Hubbard U)

Data for crystalline NaAcVF6 at its relaxed geometry.

Cell and atoms, written as POSCAR:
```
NaAcVF6
1.0
6.1185 0.0000 0.0000
-3.0592 5.2987 0.0000
0.0000 0.0000 8.8632
F V Ac Na
12 2 2 2
Cartesian
3.9365 3.3655 3.3078 F
0.8773 1.9332 7.7394 F
4.8829 1.7264 1.1238 F
-0.8773 1.9332 5.5553 F
2.1819 3.3655 1.1238 F
4.0056 0.2068 3.3078 F
1.2356 1.7264 3.3078 F
2.1129 0.2068 1.1238 F
-1.8237 3.5723 7.7394 F
1.8237 3.5723 5.5553 F
-0.9463 5.0919 5.5553 F
0.9463 5.0919 7.7394 F
0.0000 3.5325 6.6474 V
3.0592 1.7662 2.2158 V
0.0000 3.5325 2.2158 Ac
3.0592 1.7662 6.6474 Ac
0.0000 0.0000 4.4316 Na
0.0000 0.0000 0.0000 Na
```

Results
* space group: P-31c (163)
* E: -5.9583 eV/atom